Record 1
Here is a geometry-optimized BeSbAs2 structure from Alexandria. Energies are from PBE-GGA.

**Space-group type**: Cmmm (65)
**Calculated volume**: 79 Å³ per cell
**DFT total energy**: -3.68 eV per atom
**E above lowest polymorph**: 580 meV per atom
**Total magnetic moment**: 0.0 μB/cell
**ΔE_f (raw)**: 608 meV per atom

Cell: 4.6269 4.6269 3.8753 Å, 90.00 90.00 106.62°
Fractional positions:
Be (0.0000, 0.0000, 0.0000)
Sb (0.5000, 0.5000, 0.0000)
As (0.0000, 0.5000, 0.5000)
As (0.5000, 0.0000, 0.5000)



Record 2
Here is a geometry-optimized Hf2GaB structure from Alexandria. Energies are from PBE-GGA.

**Space-group type**: Fm-3m (225)
**Calculated volume**: 65 Å³ per cell
**DFT total energy**: -7.26 eV per atom
**E above lowest polymorph**: 608 meV per atom
**Total magnetic moment**: 0.0 μB/cell
**Formation enthalpy at 0 K**: 0.14 eV per atom

Cell: 4.5080 4.5080 4.5080 Å, 60.00 60.00 60.00°
Fractional positions:
Hf (0.2500, 0.2500, 0.2500)
Hf (0.7500, 0.7500, 0.7500)
Ga (0.0000, 0.0000, 0.0000)
B (0.5000, 0.5000, 0.5000)



Question: Look up the DFT total energy of the second one.
Answer: -7.26 eV per atom



Question: Among the records above, which one has the lowest DFT total energy?
Answer: Hf2GaB